Here is an optimized crystal structure of BaCuAgCl6 from Alexandria via LeMat-Bulk. Energies are from GGA-PBE.

Values from the calculation:
The crystal system is trigonal. For the formation energy from raw total energies, the calculation gives -1040 meV/atom. The total magnetization is 2.0 μB per formula unit. The symmetry is P312 (149).

abc: 6.693 6.693 6.547
angles: 90.00 90.00 120.00
Sites, in units of the cell vectors:
Ba (0.000, 0.000, 0.000)
Cu (0.667, 0.333, 0.500)
Ag (0.333, 0.667, 0.500)
Cl (0.388, 0.025, 0.717)
Cl (0.388, 0.364, 0.283)
Cl (0.636, 0.025, 0.283)
Cl (0.636, 0.612, 0.717)
Cl (0.975, 0.364, 0.717)
Cl (0.975, 0.612, 0.283)